# PmDy5Er3

A geometry-optimized PmDy5Er3 structure (PBE-GGA, Alexandria via LeMat-Bulk).

Calculated values
As for the density of states at the Fermi level: 27.03 states/eV per cell. The total energy comes out at -0.1536 Ha/atom. The calculated volume comes out at 34.25 Å³ per atom. The energy relative to the lowest polymorph listed for this composition is 372.5 meV per atom. As for the formation energy: 0.4261 eV/atom. The value obtained for the size of the total moment is 0.00 μB/cell.

Cell: 9.285 9.285 12.172 Å, 126.06 126.06 50.74°
Fractional positions:
Pm  0.236  0.236  0.130
Pm  0.764  0.764  0.870
Dy  0.124  0.124  0.567
Dy  0.143  0.729  0.221
Dy  0.271  0.857  0.779
Dy  0.299  0.299  0.929
Dy  0.321  0.679  0.000
Dy  0.679  0.321  0.000
Dy  0.701  0.701  0.071
Dy  0.729  0.143  0.221
Dy  0.857  0.271  0.779
Dy  0.876  0.876  0.433
Er  0.000  0.000  0.000
Er  0.171  0.171  0.339
Er  0.379  0.379  0.683
Er  0.500  0.500  0.500
Er  0.621  0.621  0.317
Er  0.829  0.829  0.661

# Pm6Dy3Er2

A geometry-optimized Pm6Dy3Er2 structure (PBE-GGA, Alexandria via LeMat-Bulk).

Calculated values
As for the density of states at the Fermi level: 12.92 states/eV per cell. The total energy comes out at -0.1713 Ha/atom. The calculated volume comes out at 32.72 Å³ per atom. The energy relative to the lowest polymorph listed for this composition is 0.0 meV per atom. As for the formation energy: 0.0144 eV/atom. The value obtained for the size of the total moment is 0.00 μB/cell.

Cell: 32.207 32.207 32.207 Å, 6.40 6.40 6.40°
Fractional positions:
Pm  0.091  0.091  0.091
Pm  0.182  0.182  0.182
Pm  0.364  0.364  0.364
Pm  0.636  0.636  0.636
Pm  0.818  0.818  0.818
Pm  0.909  0.909  0.909
Dy  0.000  0.000  0.000
Dy  0.273  0.273  0.273
Dy  0.727  0.727  0.727
Er  0.454  0.454  0.454
Er  0.546  0.546  0.546

# Pm6DyEr4

A geometry-optimized Pm6DyEr4 structure (PBE-GGA, Alexandria via LeMat-Bulk).

Calculated values
As for the density of states at the Fermi level: 17.12 states/eV per cell. The total energy comes out at -0.1603 Ha/atom. The calculated volume comes out at 34.24 Å³ per atom. As for the formation energy: 0.3064 eV/atom. The value obtained for the size of the total moment is 0.00 μB/cell.

Cell: 9.721 9.721 9.721 Å, 139.97 139.97 57.90°
Fractional positions:
Pm  0.000  0.500  0.500
Pm  0.013  0.634  0.000
Pm  0.366  0.366  0.378
Pm  0.500  0.000  0.500
Pm  0.634  0.013  0.000
Pm  0.987  0.987  0.622
Dy  0.000  0.000  0.000
Er  0.195  0.195  0.642
Er  0.446  0.805  0.000
Er  0.554  0.554  0.358
Er  0.805  0.446  0.000

# PmDy2Er

A geometry-optimized PmDy2Er structure (PBE-GGA, Alexandria via LeMat-Bulk).

Calculated values
As for the density of states at the Fermi level: 17.05 states/eV per cell. The total energy comes out at -0.1695 Ha/atom. The calculated volume comes out at 31.98 Å³ per atom. The energy relative to the lowest polymorph listed for this composition is 0.0 meV per atom. As for the formation energy: 0.0160 eV/atom. The value obtained for the size of the total moment is 0.00 μB/cell.

Cell: 3.581 3.581 34.561 Å, 90.00 90.00 120.00°
Fractional positions:
Pm  0.000  0.000  0.000
Pm  0.333  0.667  0.667
Pm  0.667  0.333  0.333
Dy  0.000  0.000  0.249
Dy  0.000  0.000  0.419
Dy  0.333  0.667  0.085
Dy  0.333  0.667  0.916
Dy  0.667  0.333  0.582
Dy  0.667  0.333  0.752
Er  0.000  0.000  0.834
Er  0.333  0.667  0.501
Er  0.667  0.333  0.167

# Pm2Dy6Er3

A geometry-optimized Pm2Dy6Er3 structure (PBE-GGA, Alexandria via LeMat-Bulk).

Calculated values
As for the density of states at the Fermi level: 18.01 states/eV per cell. The total energy comes out at -0.1630 Ha/atom. The calculated volume comes out at 33.57 Å³ per atom. The energy relative to the lowest polymorph listed for this composition is 0.0 meV per atom. As for the formation energy: 0.1831 eV/atom. The value obtained for the size of the total moment is 0.00 μB/cell.

Cell: 6.100 6.100 11.651 Å, 95.05 95.05 120.06°
Fractional positions:
Pm  0.167  0.833  0.000
Pm  0.833  0.167  0.000
Dy  0.082  0.416  0.747
Dy  0.250  0.250  0.253
Dy  0.416  0.082  0.747
Dy  0.584  0.918  0.253
Dy  0.750  0.750  0.747
Dy  0.918  0.584  0.253
Er  0.000  0.000  0.500
Er  0.335  0.665  0.500
Er  0.665  0.335  0.500

# Pm6DyEr12

A geometry-optimized Pm6DyEr12 structure (PBE-GGA, Alexandria via LeMat-Bulk).

Calculated values
As for the density of states at the Fermi level: 31.09 states/eV per cell. The total energy comes out at -0.1619 Ha/atom. The calculated volume comes out at 33.09 Å³ per atom. The energy relative to the lowest polymorph listed for this composition is 94.3 meV per atom. As for the formation energy: 0.2174 eV/atom. The value obtained for the size of the total moment is 0.00 μB/cell.

Cell: 8.679 8.679 8.679 Å, 98.69 98.69 98.69°
Fractional positions:
Pm  0.156  0.598  0.598
Pm  0.402  0.402  0.844
Pm  0.402  0.844  0.402
Pm  0.598  0.156  0.598
Pm  0.598  0.598  0.156
Pm  0.844  0.402  0.402
Dy  0.500  0.500  0.500
Er  0.000  0.257  0.743
Er  0.000  0.743  0.257
Er  0.145  0.145  0.418
Er  0.145  0.418  0.145
Er  0.257  0.000  0.743
Er  0.257  0.743  0.000
Er  0.418  0.145  0.145
Er  0.582  0.855  0.855
Er  0.743  0.000  0.257
Er  0.743  0.257  0.000
Er  0.855  0.582  0.855
Er  0.855  0.855  0.582

# Pm2DyEr8

A geometry-optimized Pm2DyEr8 structure (PBE-GGA, Alexandria via LeMat-Bulk).

Calculated values
As for the density of states at the Fermi level: 15.81 states/eV per cell. The total energy comes out at -0.1648 Ha/atom. The calculated volume comes out at 31.86 Å³ per atom. The energy relative to the lowest polymorph listed for this composition is 0.0 meV per atom. As for the formation energy: 0.1170 eV/atom. The value obtained for the size of the total moment is 0.00 μB/cell.

Cell: 9.319 9.319 9.319 Å, 145.78 128.89 62.95°
Fractional positions:
Pm  0.201  0.201  0.000
Pm  0.799  0.799  0.000
Dy  0.500  0.500  0.000
Er  0.071  0.363  0.709
Er  0.208  0.000  0.208
Er  0.340  0.840  0.500
Er  0.346  0.637  0.709
Er  0.654  0.363  0.291
Er  0.660  0.160  0.500
Er  0.792  0.000  0.792
Er  0.929  0.637  0.291

# PmDy2Er5

A geometry-optimized PmDy2Er5 structure (PBE-GGA, Alexandria via LeMat-Bulk).

Calculated values
As for the density of states at the Fermi level: 18.22 states/eV per cell. The total energy comes out at -0.1682 Ha/atom. The calculated volume comes out at 31.14 Å³ per atom. The energy relative to the lowest polymorph listed for this composition is 0.0 meV per atom. As for the formation energy: 0.0179 eV/atom. The value obtained for the size of the total moment is 0.00 μB/cell.

Cell: 7.066 14.138 4.987 Å, 90.00 90.00 90.00°
Fractional positions:
Pm  0.000  0.000  0.000
Pm  0.500  0.500  0.000
Dy  0.249  0.374  0.500
Dy  0.251  0.874  0.500
Dy  0.749  0.126  0.500
Dy  0.751  0.626  0.500
Er  0.000  0.251  0.000
Er  0.000  0.500  0.000
Er  0.000  0.749  0.000
Er  0.250  0.126  0.500
Er  0.250  0.626  0.500
Er  0.500  0.000  0.000
Er  0.500  0.249  0.000
Er  0.500  0.751  0.000
Er  0.750  0.374  0.500
Er  0.750  0.874  0.500

# Pm7DyEr12

A geometry-optimized Pm7DyEr12 structure (PBE-GGA, Alexandria via LeMat-Bulk).

Calculated values
As for the density of states at the Fermi level: 36.12 states/eV per cell. The total energy comes out at -0.1616 Ha/atom. The calculated volume comes out at 33.12 Å³ per atom. The energy relative to the lowest polymorph listed for this composition is 0.0 meV per atom. As for the formation energy: 0.2335 eV/atom. The value obtained for the size of the total moment is 0.00 μB/cell.

Cell: 8.738 8.738 8.738 Å, 85.91 85.91 85.91°
Fractional positions:
Pm  0.000  0.000  0.000
Pm  0.102  0.345  0.423
Pm  0.345  0.423  0.102
Pm  0.423  0.102  0.345
Pm  0.577  0.898  0.655
Pm  0.655  0.577  0.898
Pm  0.898  0.655  0.577
Dy  0.500  0.500  0.500
Er  0.003  0.366  0.882
Er  0.118  0.997  0.634
Er  0.227  0.755  0.354
Er  0.245  0.646  0.773
Er  0.354  0.227  0.755
Er  0.366  0.882  0.003
Er  0.634  0.118  0.997
Er  0.646  0.773  0.245
Er  0.755  0.354  0.227
Er  0.773  0.245  0.646
Er  0.882  0.003  0.366
Er  0.997  0.634  0.118

# Pm8DyEr2

A geometry-optimized Pm8DyEr2 structure (PBE-GGA, Alexandria via LeMat-Bulk).

Calculated values
As for the density of states at the Fermi level: 17.90 states/eV per cell. The total energy comes out at -0.1665 Ha/atom. The calculated volume comes out at 33.96 Å³ per atom. The energy relative to the lowest polymorph listed for this composition is 58.7 meV per atom. As for the formation energy: 0.1710 eV/atom. The value obtained for the size of the total moment is 0.00 μB/cell.

Cell: 9.043 9.043 6.692 Å, 99.42 99.42 43.92°
Fractional positions:
Pm  0.094  0.094  0.912
Pm  0.151  0.674  0.595
Pm  0.255  0.255  0.681
Pm  0.326  0.849  0.405
Pm  0.674  0.151  0.595
Pm  0.745  0.745  0.319
Pm  0.849  0.326  0.405
Pm  0.906  0.906  0.088
Dy  0.500  0.500  0.000
Er  0.302  0.302  0.194
Er  0.698  0.698  0.806